! CuAgTe (PBE, optimized geometry); values from VASP
&SYSTEM
  ibrav = 0, nat = 6, ntyp = 3
/
ATOMIC_SPECIES
Te 127.60 Te.upf
Cu 63.55 Cu.upf
Ag 107.87 Ag.upf
CELL_PARAMETERS angstrom
-1.0185 -3.2298 -2.8898
6.6750 -4.0944 2.1536
-1.5100 -0.1971 4.1849
ATOMIC_POSITIONS angstrom
Te -0.6325 -1.2540 2.6304
Te 2.4119 -4.0371 1.1599
Cu 3.0395 -5.3311 -1.0444
Cu -0.7651 -2.9939 -2.2387
Ag 4.8385 -5.5215 1.9696
Ag 3.6157 -3.8628 3.9739
! DFT total energy, eV per atom: -3.38
! Fermi-level density of states, states/eV/atom: 0.003
! Spin magnetization, μB/atom: 0.0000
! Relative energy among the computed polymorphs, kJ/mol of formula units: 3
! Formation energy without anion corrections, eV per formula unit: -0.1
! Space-group type: P-1 (2)


! CuAgTe (PBE, optimized geometry); values from VASP
&SYSTEM
  ibrav = 0, nat = 6, ntyp = 3
/
ATOMIC_SPECIES
Te 127.60 Te.upf
Cu 63.55 Cu.upf
Ag 107.87 Ag.upf
CELL_PARAMETERS angstrom
5.0472 -0.0115 0.0036
0.0199 7.5907 -0.8345
2.5217 -0.4514 4.0693
ATOMIC_POSITIONS angstrom
Te 5.2457 0.2035 0.3522
Te 2.7321 4.5443 -0.4343
Cu 1.4595 2.3836 -0.0369
Cu 3.9828 2.3706 -0.0488
Ag 2.7318 3.6434 2.2538
Ag 2.7247 0.6678 1.7302
! DFT total energy, eV per atom: -3.40
! Fermi-level density of states, states/eV/atom: 0.085
! Spin magnetization, μB/atom: 0.0000
! Relative energy among the computed polymorphs, kJ/mol of formula units: 0
! Formation energy without anion corrections, eV per formula unit: -0.1
! Space-group type: C2 (5)


! Cu2AgTe2 (PBE, optimized geometry); values from VASP
&SYSTEM
  ibrav = 0, nat = 10, ntyp = 3
/
ATOMIC_SPECIES
Te 127.60 Te.upf
Cu 63.55 Cu.upf
Ag 107.87 Ag.upf
CELL_PARAMETERS angstrom
7.2779 0.0000 0.0000
0.0000 7.2779 0.0000
0.0000 0.0000 3.7340
ATOMIC_POSITIONS angstrom
Te 1.3131 4.9521 1.8670
Te 4.9521 5.9648 1.8670
Te 5.9648 2.3259 1.8670
Te 2.3259 1.3131 1.8670
Cu 2.7460 6.3849 0.0000
Cu 6.3849 4.5320 0.0000
Cu 4.5320 0.8930 0.0000
Cu 0.8930 2.7460 0.0000
Ag 0.0000 0.0000 0.0000
Ag 3.6390 3.6390 0.0000
! DFT total energy, eV per atom: -3.29
! Fermi-level density of states, states/eV/atom: 0.563
! Spin magnetization, μB/atom: 0.0000
! Relative energy among the computed polymorphs, kJ/mol of formula units: 75
! Formation energy without anion corrections, eV per formula unit: 0.9
! Space-group type: P4/mbm (127)